Entry 1:
This record from the Alexandria database describes a geometry-optimized Pm4SnGeC structure. The functional is GGA-PBE.

The value obtained for the formation enthalpy at 0 K is -3.7 eV/f.u. As for the magnetization: 0.00 μB per formula unit. The raw total energy comes out at -162.13 eV per cell.

It has space group Cmcm (No. 63), with a = 6.9428 Å, b = 16.0766 Å, c = 6.9448 Å, α = 90.00°, β = 90.00° and γ = 90.00°. The inequivalent atoms are Pm at (0.0000, 0.0803, 0.2500), Pm at (0.0000, 0.4122, 0.2500), Pm at (0.2500, 0.2500, 0.0000), Sn at (0.0000, 0.3903, 0.7500), Ge at (0.0000, 0.1154, 0.7500) and C at (0.0000, 0.2481, 0.2500).

Entry 2:
This record from the Alexandria database describes a geometry-optimized PmTc2GeC structure. The functional is GGA-PBE.

The value obtained for the formation enthalpy at 0 K is -1.9 eV/f.u. As for the magnetization: 0.00 μB per formula unit. The raw total energy comes out at -164.97 eV per cell.

It has space group Cmcm (No. 63), with a = 4.0046 Å, b = 11.0183 Å, c = 7.5129 Å, α = 90.00°, β = 90.00° and γ = 90.00°. The inequivalent atoms are Pm at (0.0000, 0.0438, 0.2500), Tc at (0.0000, 0.3291, 0.0585), Ge at (0.0000, 0.2328, 0.7500) and C at (0.0000, 0.5000, 0.0000).

Entry 3:
This record from the Alexandria database describes a geometry-optimized PmTc2Ge2C structure. The functional is GGA-PBE.

The value obtained for the formation enthalpy at 0 K is -2.2 eV/f.u. As for the magnetization: 0.00 μB per formula unit. The raw total energy comes out at -46.18 eV per cell.

It has space group P4/mmm (No. 123), with a = 4.1934 Å, b = 4.1934 Å, c = 5.5008 Å, α = 90.00°, β = 90.00° and γ = 90.00°. The inequivalent atoms are Pm at (0.0000, 0.0000, 0.0000), Tc at (0.0000, 0.5000, 0.5000), Ge at (0.5000, 0.5000, 0.2228) and C at (0.0000, 0.0000, 0.5000).

Entry 4:
This record from the Alexandria database describes a geometry-optimized Pm8Ge3Te4C structure. The functional is GGA-PBE.

As for the magnetization: 0.00 μB per formula unit. The raw total energy comes out at -272.56 eV per cell. The energy relative to the elements, uncorrected is -1.075 eV per atom.

It has space group R-3m (No. 166, hexagonal axes), with a = 8.5287 Å, b = 8.5287 Å, c = 21.7735 Å, α = 90.00°, β = 90.00° and γ = 120.00°. The inequivalent atoms are Pm at (0.0000, 0.0000, 0.2425), Pm at (0.0216, 0.5108, 0.2368), Ge at (0.0000, 0.5000, 0.5000), Te at (0.0000, 0.0000, 0.0000), Te at (0.0000, 0.5000, 0.0000) and C at (0.0000, 0.0000, 0.5000).

Entry 5:
This record from the Alexandria database describes a geometry-optimized Pm3YGe2C structure. The functional is GGA-PBE.

The value obtained for the formation enthalpy at 0 K is -4.1 eV/f.u. As for the magnetization: 0.00 μB per formula unit. The raw total energy comes out at -86.51 eV per cell.

It has space group Immm (No. 71), with a = 4.7439 Å, b = 4.8454 Å, c = 15.6794 Å, α = 90.00°, β = 90.00° and γ = 90.00°. The inequivalent atoms are Pm at (0.0000, 0.0000, 0.0000), Pm at (0.0000, 0.5000, 0.1689), Y at (0.0000, 0.0000, 0.5000), Ge at (0.0000, 0.5000, 0.3645) and C at (0.0000, 0.5000, 0.0000).

Entry 6:
This record from the Alexandria database describes a geometry-optimized Pr6Ge2C structure. The functional is GGA-PBE.

The value obtained for the formation enthalpy at 0 K is -3.8 eV/f.u. As for the magnetization: 0.00 μB per formula unit. The raw total energy comes out at -101.93 eV per cell.

It has space group P2_1/c (No. 14), with a = 6.4850 Å, b = 8.1743 Å, c = 11.4893 Å, α = 90.00°, β = 122.12° and γ = 90.00°. The inequivalent atoms are Pr at (0.1132, 0.1589, 0.4459), Pr at (0.3095, 0.7065, 0.4472), Pr at (0.3633, 0.0350, 0.2474), Ge at (0.1891, 0.1128, 0.7581) and C at (0.5000, 0.0000, 0.5000).